1.
Below is a relaxed structure of MnMoS, with properties calculated at the PBE level.

Output
ρ = 7.25 g/cm3
Electronic total energy = -49.35 eV/cell
Relative energy among the computed polymorphs = 0.09 eV/f.u.

Lattice parameters (Å, degrees): 4.606 3.138 5.799 90.00 89.86 90.00
Each line ends with the local moment (μB).
Positions (direct):
Mo1 0.273 0.000 0.006  -0.16
Mo2 0.496 0.000 0.500  -0.24
Mn1 0.748 0.500 0.842  2.64
Mn2 0.008 0.500 0.351  2.36
S1 0.758 0.000 0.149  -0.01
S2 0.196 0.500 0.699  -0.01


2.
Below is a relaxed structure of PrSmDy4, with properties calculated at the PBE level.

Output
ρ = 8.00 g/cm3
Calculated formation energy = 0.02 eV/atom
Electronic total energy = -27.79 eV/cell
Relative energy among the computed polymorphs = 0.00 eV/f.u.

Lattice parameters (Å, degrees): 5.055 8.018 11.342 148.05 89.96 108.41
Positions (direct):
Pr1 0.000 0.000 0.000
Sm1 0.500 0.000 0.500
Dy1 0.834 0.669 0.501
Dy2 0.166 0.331 0.499
Dy3 0.333 0.667 0.001
Dy4 0.667 0.333 0.998


3.
Below is a relaxed structure of DyHo4Pd15, with properties calculated at the PBE level.

Output
ρ = 11.52 g/cm3
Calculated formation energy = -0.89 eV/atom
Electronic total energy = -118.61 eV/cell

Lattice parameters (Å, degrees): 4.106 4.106 20.671 90.00 90.00 90.00
Positions (direct):
Dy1 0.000 0.000 0.000
Ho1 0.000 0.000 0.200
Ho2 0.000 0.000 0.400
Ho3 0.000 0.000 0.600
Ho4 0.000 0.000 0.800
Pd1 0.500 0.500 0.000
Pd2 0.500 0.500 0.200
Pd3 0.500 0.500 0.400
Pd4 0.500 0.500 0.600
Pd5 0.500 0.500 0.800
Pd6 0.500 0.000 0.100
Pd7 0.500 0.000 0.300
Pd8 0.500 0.000 0.500
Pd9 0.500 0.000 0.700
Pd10 0.500 0.000 0.900
Pd11 0.000 0.500 0.100
Pd12 0.000 0.500 0.300
Pd13 0.000 0.500 0.500
Pd14 0.000 0.500 0.700
Pd15 0.000 0.500 0.900